Density functional theory data (GGA+U) for a relaxed Na5CoTeO2 crystal.

Results
Raw total energy (eV per atom): -3.835
SG: P4/mmm, No. 123
Size of the total moment (μB per atom): 0.222

Cell lengths 4.793, 4.793, 8.300 Å; angles 90.00, 90.00, 90.00 degrees
Element x y z (fractional)
Na  0.000  0.500  0.764
Na  0.000  0.000  0.500
Na  0.500  0.000  0.764
O  0.000  0.000  0.213
Te  0.500  0.500  0.500
O  0.000  0.000  0.787
Na  0.500  0.000  0.236
Co  0.000  0.000  0.000
Na  0.000  0.500  0.236